(1)
A relaxed structure of MnSi2Ag, computed with GGA-PBE.

- ΔE to the lowest computed polymorph (eV/atom) = 0.328
- mass density (Mg/m³) = 6.28
- uncorrected formation energy (eV/atom) = 0.2906
- spin magnetization (μB per cell) = 3.41
- E_tot (eV per atom) = -5.426

Cell lengths 2.878, 4.866, 8.273 Å; angles 90.00, 90.00, 90.00 degrees
Fractional coordinates of all 8 atoms:
1 Mn 0.000 0.000 0.000
2 Mn 0.500 0.500 0.500
3 Si 0.000 0.500 0.274
4 Si 0.000 0.500 0.726
5 Si 0.500 0.000 0.226
6 Si 0.500 0.000 0.774
7 Ag 0.000 0.000 0.500
8 Ag 0.500 0.500 0.000



(2)
A relaxed structure of Dy3PaAl8, computed with GGA-PBE.

- mass density (Mg/m³) = 6.40
- energy relative to the elements (eV per atom) = -0.429
- spin magnetization (μB per cell) = 0.00
- E_tot (eV per atom) = -4.866

Cell lengths 5.522, 5.522, 9.174 Å; angles 90.00, 90.00, 120.00 degrees
Fractional coordinates of all 12 atoms:
1 Dy 0.000 0.000 0.000
2 Dy 0.000 0.000 0.369
3 Dy 0.333 0.667 0.861
4 Pa 0.333 0.667 0.502
5 Al 0.008 0.504 0.185
6 Al 0.327 0.163 0.682
7 Al 0.496 0.504 0.185
8 Al 0.496 0.992 0.185
9 Al 0.667 0.333 0.433
10 Al 0.667 0.333 0.939
11 Al 0.837 0.163 0.682
12 Al 0.837 0.673 0.682



(3)
A relaxed structure of InSn2H, computed with GGA-PBE.

- ΔE to the lowest computed polymorph (eV/atom) = 0.281
- mass density (Mg/m³) = 6.62
- spin magnetization (μB per cell) = 0.00
- E_tot (eV per atom) = -3.091

Cell lengths 7.076, 7.076, 7.076 Å; angles 90.00, 90.00, 90.00 degrees
Fractional coordinates of all 16 atoms:
1 In 0.000 0.000 0.000
2 In 0.000 0.500 0.500
3 In 0.500 0.000 0.500
4 In 0.500 0.500 0.000
5 Sn 0.250 0.250 0.250
6 Sn 0.250 0.250 0.750
7 Sn 0.250 0.750 0.250
8 Sn 0.250 0.750 0.750
9 Sn 0.750 0.250 0.250
10 Sn 0.750 0.250 0.750
11 Sn 0.750 0.750 0.250
12 Sn 0.750 0.750 0.750
13 H 0.000 0.000 0.500
14 H 0.000 0.500 0.000
15 H 0.500 0.000 0.000
16 H 0.500 0.500 0.500



(4)
A relaxed structure of NaTc2N, computed with GGA-PBE.

- mass density (Mg/m³) = 4.60
- uncorrected formation energy (eV/atom) = 0.7308
- spin magnetization (μB per cell) = 10.29
- E_tot (eV per atom) = -6.863

Cell lengths 6.192, 6.192, 8.777 Å; angles 90.00, 90.00, 90.00 degrees
Fractional coordinates of all 16 atoms:
1 Na 0.000 0.250 0.375
2 Na 0.000 0.750 0.625
3 Na 0.500 0.250 0.125
4 Na 0.500 0.750 0.875
5 Tc 0.000 0.000 0.000
6 Tc 0.000 0.500 0.000
7 Tc 0.250 0.250 0.750
8 Tc 0.250 0.750 0.250
9 Tc 0.500 0.000 0.500
10 Tc 0.500 0.500 0.500
11 Tc 0.750 0.250 0.750
12 Tc 0.750 0.750 0.250
13 N 0.000 0.250 0.875
14 N 0.000 0.750 0.125
15 N 0.500 0.250 0.625
16 N 0.500 0.750 0.375



(5)
A relaxed structure of HgBiAu, computed with GGA-PBE.

- mass density (Mg/m³) = 13.00
- energy relative to the elements (eV per atom) = 0.038
- spin magnetization (μB per cell) = 0.00
- E_tot (eV per atom) = -2.449

Cell lengths 5.470, 4.376, 6.941 Å; angles 90.00, 111.11, 90.00 degrees
Fractional coordinates of all 6 atoms:
1 Hg 0.000 0.000 0.000
2 Hg 0.287 0.000 0.685
3 Bi 0.607 0.500 0.082
4 Bi 0.782 0.500 0.602
5 Au 0.155 0.500 0.364
6 Au 0.503 0.000 0.332



(6)
A relaxed structure of Pu3SeS2, computed with GGA-PBE.

- ΔE to the lowest computed polymorph (eV/atom) = 0.000
- mass density (Mg/m³) = 10.46
- uncorrected formation energy (eV/atom) = -1.6687
- spin magnetization (μB per cell) = 34.19
- E_tot (eV per atom) = -10.791

Cell lengths 6.987, 6.987, 6.976 Å; angles 99.60, 99.60, 120.08 degrees
Fractional coordinates of all 12 atoms:
1 Pu 0.000 0.500 0.000
2 Pu 0.149 0.324 0.499
3 Pu 0.324 0.149 0.999
4 Pu 0.500 0.000 0.500
5 Pu 0.676 0.851 0.001
6 Pu 0.851 0.676 0.501
7 Se 0.420 0.580 0.250
8 Se 0.580 0.420 0.750
9 S 0.084 0.916 0.250
10 S 0.254 0.746 0.750
11 S 0.746 0.254 0.250
12 S 0.916 0.084 0.750



(7)
A relaxed structure of TiInS3, computed with GGA-PBE.

- ΔE to the lowest computed polymorph (eV/atom) = 0.000
- mass density (Mg/m³) = 3.33
- uncorrected formation energy (eV/atom) = -0.8080
- spin magnetization (μB per cell) = 0.00
- E_tot (eV per atom) = -5.411

Cell lengths 10.559, 10.559, 6.472 Å; angles 90.00, 90.00, 159.00 degrees
Fractional coordinates of all 10 atoms:
1 Ti 0.113 0.887 0.500
2 Ti 0.887 0.113 0.000
3 In 0.328 0.672 0.428
4 In 0.672 0.328 0.928
5 S 0.118 0.882 0.154
6 S 0.213 0.787 0.656
7 S 0.433 0.567 0.143
8 S 0.567 0.433 0.643
9 S 0.787 0.213 0.156
10 S 0.882 0.118 0.654



(8)
A relaxed structure of TbThCdRu, computed with GGA-PBE.

- mass density (Mg/m³) = 10.39
- energy relative to the elements (eV per atom) = -0.206
- spin magnetization (μB per cell) = 0.00
- E_tot (eV per atom) = -5.766

Cell lengths 7.283, 7.283, 7.283 Å; angles 90.00, 90.00, 90.00 degrees
Fractional coordinates of all 16 atoms:
1 Tb 0.000 0.000 0.000
2 Tb 0.000 0.500 0.500
3 Tb 0.500 0.000 0.500
4 Tb 0.500 0.500 0.000
5 Th 0.000 0.000 0.500
6 Th 0.000 0.500 0.000
7 Th 0.500 0.000 0.000
8 Th 0.500 0.500 0.500
9 Cd 0.250 0.250 0.750
10 Cd 0.250 0.750 0.250
11 Cd 0.750 0.250 0.250
12 Cd 0.750 0.750 0.750
13 Ru 0.250 0.250 0.250
14 Ru 0.250 0.750 0.750
15 Ru 0.750 0.250 0.750
16 Ru 0.750 0.750 0.250



The highest E_tot belongs to which entry? HgBiAu



Among the records above, which one has the highest mass density? HgBiAu



Which value of spin magnetization does entry 5 give? 0.00 μB per cell



Which of these has the highest E_tot? HgBiAu